(1)
A plane-wave DFT calculation with SCAN was carried out for a crystal of SrRhN2F relaxed with PBEsol.

Lattice parameters (Å, degrees): 4.7797 4.7797 4.3996 90.00 90.00 90.00
Space group P4/mmm (No. 123)
One atom of each set of equivalent atoms:
Sr 0.0000 0.0000 0.0000 x1
Rh 0.5000 0.5000 0.5000 x1
N 0.0000 0.5000 0.0000 x2
F 0.0000 0.0000 0.5000 x1

Calculated values
- Density of states at the Fermi level: 0.32 states/eV per atom
- Uncorrected energy: -14.64 eV per atom

(2)
A plane-wave DFT calculation with SCAN was carried out for a crystal of Na3Sr4Nd3Ti10O30 relaxed with PBEsol.

Lattice parameters (Å, degrees): 5.4588 5.4635 19.7039 97.77 97.87 90.49
Space group P1 (No. 1)
One atom of each set of equivalent atoms:
Na 0.0000 0.0000 0.0000 x1
Na 0.1972 0.2072 0.3968 x1
Na 0.5996 0.6055 0.1983 x1
Sr 0.3005 0.2967 0.5993 x1
Sr 0.3999 0.3928 0.8002 x1
Sr 0.7989 0.7977 0.6000 x1
Sr 0.8992 0.8954 0.8020 x1
Nd 0.0878 0.1144 0.2003 x1
Nd 0.4871 0.5118 0.0016 x1
Nd 0.6872 0.7121 0.3992 x1
Ti 0.0433 0.5597 0.1015 x1
Ti 0.1499 0.6612 0.2989 x1
Ti 0.2490 0.7498 0.4974 x1
Ti 0.3489 0.8452 0.7002 x1
Ti 0.4420 0.9530 0.9033 x1
Ti 0.5498 0.0616 0.1009 x1
Ti 0.6443 0.1587 0.2994 x1
Ti 0.7525 0.2512 0.4969 x1
Ti 0.8493 0.3459 0.7001 x1
Ti 0.9449 0.4543 0.9032 x1
O 0.0272 0.4530 0.4893 x1
O 0.0452 0.5174 0.0033 x1
O 0.0639 0.5539 0.2011 x1
O 0.0899 0.6123 0.7102 x1
O 0.1184 0.1084 0.7021 x1
O 0.1715 0.1641 0.9019 x1
O 0.2355 0.6517 0.8959 x1
O 0.2441 0.7075 0.3991 x1
O 0.2619 0.8438 0.1172 x1
O 0.2788 0.7701 0.6000 x1
O 0.3472 0.3368 0.1019 x1
O 0.3552 0.3407 0.2960 x1
O 0.4261 0.9104 0.8030 x1
O 0.4414 0.8401 0.2910 x1
O 0.4635 0.9583 0.0032 x1
O 0.4829 0.0169 0.5096 x1
O 0.5427 0.5252 0.4978 x1
O 0.5843 0.5743 0.6996 x1
O 0.6141 0.0722 0.6941 x1
O 0.6468 0.1128 0.2011 x1
O 0.6667 0.2404 0.9159 x1
O 0.6706 0.1522 0.3992 x1
O 0.7305 0.7230 0.9061 x1
O 0.7533 0.7426 0.0974 x1
O 0.8269 0.3065 0.5999 x1
O 0.8387 0.2424 0.0918 x1
O 0.8616 0.4432 0.3151 x1
O 0.8773 0.3762 0.8030 x1
O 0.9505 0.9366 0.2996 x1
O 0.9625 0.9450 0.4954 x1

Calculated values
- Density of states at the Fermi level: 0.00 states/eV per atom
- Uncorrected energy: -14.96 eV per atom